No. 1
LiMgRe2 | Alexandria via LeMat-Bulk | PBE | optimized geometry; M_tot = 0.000 μB/atom; energy above the most stable polymorph in this dataset = 0.17 eV per formula unit; ΔE_f = 0.188 eV/atom; crystal system = monoclinic
1.0
-0.071 3.926 1.914
-1.638 -0.947 1.882
3.729 -1.642 3.508
Re Mg Li
2 1 1
Direct
0.000 0.035 0.035 Re
0.500 0.248 0.230 Re
0.500 0.722 0.733 Mg
0.000 0.495 0.503 Li



No. 2
LiMgRe4 | Alexandria via LeMat-Bulk | PBE | optimized geometry; M_tot = 0.000 μB/atom; ΔE_f = 0.374 eV/atom; crystal system = cubic
1.0
0.000 3.695 3.695
3.695 0.000 3.695
3.695 3.695 0.000
Re Li Mg
4 1 1
Direct
0.874 0.375 0.375 Re
0.375 0.874 0.375 Re
0.375 0.375 0.874 Re
0.375 0.375 0.375 Re
0.750 0.750 0.750 Li
0.000 0.000 0.000 Mg



No. 3
LiMgRe2 | Alexandria via LeMat-Bulk | PBE | optimized geometry; M_tot = 0.000 μB/atom; energy above the most stable polymorph in this dataset = 0.46 eV per formula unit; ΔE_f = 0.261 eV/atom; crystal system = orthorhombic
1.0
2.768 0.000 0.000
0.000 4.010 0.000
0.000 0.000 5.733
Li Re Mg
1 2 1
Direct
0.000 0.000 0.504 Li
0.000 0.000 0.042 Re
0.500 0.500 0.219 Re
0.500 0.500 0.735 Mg



No. 4
LiMgRe3 | Alexandria via LeMat-Bulk | PBE | optimized geometry; M_tot = 0.403 μB/atom; energy above the most stable polymorph in this dataset = 5.83 eV per formula unit; ΔE_f = 2.579 eV/atom; crystal system = cubic
1.0
-0.039 3.248 -3.184
-0.019 -3.184 -3.248
-4.548 -0.015 0.040
Re Li Mg
3 1 1
Direct
0.500 0.000 0.000 Re
0.000 0.000 0.500 Re
0.000 0.500 0.000 Re
0.500 0.500 0.500 Li
0.000 0.000 0.000 Mg



No. 5
LiMg3Re | Alexandria via LeMat-Bulk | PBE | optimized geometry; M_tot = 0.131 μB/atom; energy above the most stable polymorph in this dataset = 0.00 eV per formula unit; ΔE_f = 0.832 eV/atom; crystal system = cubic
1.0
-3.810 -1.743 2.961
3.243 -0.367 3.958
-1.133 4.811 1.374
Mg Re Li
3 1 1
Direct
0.500 0.000 0.000 Mg
0.000 0.000 0.500 Mg
0.000 0.500 0.000 Mg
0.000 0.000 0.000 Re
0.500 0.500 0.500 Li



No. 6
LiMgRe2 | Alexandria via LeMat-Bulk | PBE | optimized geometry; M_tot = 0.000 μB/atom; energy above the most stable polymorph in this dataset = 0.74 eV per formula unit; ΔE_f = 0.332 eV/atom; crystal system = orthorhombic
1.0
-0.701 -1.281 -2.190
-1.604 -0.767 1.941
-5.868 6.859 -2.136
Li Re Mg
1 2 1
Direct
0.500 0.500 0.250 Li
0.000 0.000 0.499 Re
0.000 0.000 0.001 Re
0.500 0.500 0.750 Mg



No. 7
LiMgRe2 | Alexandria via LeMat-Bulk | PBE | optimized geometry; M_tot = 0.000 μB/atom; energy above the most stable polymorph in this dataset = 0.71 eV per formula unit; ΔE_f = 0.323 eV/atom; crystal system = tetragonal
1.0
4.561 0.000 0.000
0.000 3.652 0.000
0.000 0.000 3.652
Re Li Mg
2 1 1
Direct
0.000 0.500 0.500 Re
0.000 0.000 0.000 Re
0.500 0.500 0.000 Li
0.500 0.000 0.500 Mg



No. 8
LiMg3Re | Alexandria via LeMat-Bulk | PBE | optimized geometry; M_tot = 0.352 μB/atom; energy above the most stable polymorph in this dataset = 1.03 eV per formula unit; ΔE_f = 1.038 eV/atom; crystal system = cubic
1.0
-0.877 0.078 4.419
0.317 -4.492 0.142
4.408 0.339 0.869
Mg Li Re
3 1 1
Direct
0.000 0.000 0.500 Mg
0.000 0.500 0.000 Mg
0.500 0.000 0.000 Mg
0.000 0.000 0.000 Li
0.500 0.500 0.500 Re



V
In order: 62.0; 100.9; 63.6; 94.1; 135.0; 61.1; 60.8; 91.5
Unit: Å³/cell
Total DFT energy (no corrections)
In order: -6.913; -8.509; -6.840; -5.592; -2.997; -6.770; -6.778; -2.791
Unit: eV per atom